Here is an optimized crystal structure of PrGdZr from the Alexandria database. Energies are from PBE-GGA.

Properties
The energy of formation is 0.40 eV per formula unit. The final energy comes out at -9.004 eV/atom. The value obtained for the density of states at the Fermi level is 4.0 states/eV/cell. The calculation puts the polymorph energy (0 for the lowest one) at 0.05 eV per formula unit.

Cell: 3.4592 3.4592 8.6402 Å, 90.00 90.00 120.00°
With the nearest neighbours (Å) after each atom.
Fractional coordinates of all 3 atoms:
Pr  0.0000  0.0000  0.0000  3 Zr 3.39, 6 Pr 3.46
Gd  0.3333  0.6667  0.6218  3 Zr 3.31, 6 Gd 3.46
Zr  0.6667  0.3333  0.3169  3 Gd 3.31, 3 Pr 3.39, 6 Zr 3.46

Here is an optimized crystal structure of KBe2Hg from the Alexandria database. Energies are from PBE-GGA.

Properties
The energy of formation is 2.86 eV per formula unit. The final energy comes out at -1.499 eV/atom. The value obtained for the density of states at the Fermi level is 1.6 states/eV/cell.

Cell: 3.5706 3.5706 7.3515 Å, 90.00 90.00 102.23°
With the nearest neighbours (Å) after each atom.
Fractional coordinates of all 4 atoms:
K  0.0000  0.0000  0.0000  8 Be 3.43-3.81, 4 K 3.57, 2 Hg 3.68
Be  0.5000  0.5000  0.3536  1 Be 2.15
Be  0.5000  0.5000  0.6464  1 Be 2.15
Hg  0.0000  0.0000  0.5000  4 Be 2.49

Here is an optimized crystal structure of Sr2Li5Mg5 from the Alexandria database. Energies are from PBE-GGA.

Properties
The energy of formation is -0.49 eV per formula unit. The final energy comes out at -1.783 eV/atom. The value obtained for the density of states at the Fermi level is 6.7 states/eV/cell.

Cell: 4.8598 6.1710 10.7121 Å, 90.00 90.00 90.00°
With the nearest neighbours (Å) after each atom.
Fractional coordinates of all 12 atoms:
Sr  0.0000  0.0000  0.0000  10 Li 3.56-3.93, 8 Mg 3.90
Sr  0.0000  0.5000  0.5000  6 Li 3.57-3.59, 12 Mg 3.93-3.96
Li  0.0000  0.0000  0.3329  6 Mg 3.02-3.03
Li  0.0000  0.0000  0.6671  6 Mg 3.02-3.03
Li  0.0000  0.5000  0.1651  4 Mg 3.00, 2 Li 3.01
Li  0.0000  0.5000  0.8349  4 Mg 3.00, 2 Li 3.01
Li  0.5000  0.5000  0.0000  4 Li 3.01, 4 Mg 3.05
Mg  0.5000  0.0000  0.5000  4 Li 3.02, 4 Mg 3.13
Mg  0.5000  0.2504  0.2458  5 Li 3.00-3.05, 3 Mg 3.08-3.13
Mg  0.5000  0.2504  0.7542  5 Li 3.00-3.05, 3 Mg 3.08-3.13
Mg  0.5000  0.7496  0.2458  5 Li 3.00-3.05, 3 Mg 3.08-3.13
Mg  0.5000  0.7496  0.7542  5 Li 3.00-3.05, 3 Mg 3.08-3.13

Here is an optimized crystal structure of AcLa5Ga4 from the Alexandria database. Energies are from PBE-GGA.

Properties
The energy of formation is -4.43 eV per formula unit. The final energy comes out at -4.528 eV/atom. The value obtained for the density of states at the Fermi level is 10.2 states/eV/cell.

Cell: 3.7783 3.7783 20.6921 Å, 90.00 90.00 90.00°
With the nearest neighbours (Å) after each atom.
Fractional coordinates of all 10 atoms:
Ac  0.0000  0.0000  0.0000  4 Ac 3.78, 8 La 3.92
La  0.5000  0.5000  0.1384  4 Ga 3.21
La  0.5000  0.5000  0.3179  8 Ga 3.27-3.30
La  0.5000  0.5000  0.5000  8 Ga 3.27
La  0.5000  0.5000  0.6821  8 Ga 3.27-3.30
La  0.5000  0.5000  0.8616  4 Ga 3.21
Ga  0.0000  0.0000  0.2242  8 La 3.21-3.30
Ga  0.0000  0.0000  0.4088  8 La 3.27
Ga  0.0000  0.0000  0.5912  8 La 3.27
Ga  0.0000  0.0000  0.7758  8 La 3.21-3.30

Here is an optimized crystal structure of Y8Er6Tm from the Alexandria database. Energies are from PBE-GGA.

Properties
The energy of formation is 2.81 eV per formula unit. The final energy comes out at -5.383 eV/atom. The value obtained for the density of states at the Fermi level is 21.6 states/eV/cell. The calculation puts the polymorph energy (0 for the lowest one) at 0.00 eV per formula unit.

Cell: 8.1171 8.1171 8.1171 Å, 73.27 73.27 73.27°
With the nearest neighbours (Å) after each atom.
Fractional coordinates of all 15 atoms:
Y  0.0890  0.0890  0.0890  3 Er 3.11, 1 Y 3.14
Y  0.1447  0.5696  0.2704  3 Er 3.27-3.50, 2 Y 3.62
Y  0.2704  0.1447  0.5696  3 Er 3.27-3.50, 2 Y 3.62
Y  0.4304  0.7296  0.8553  3 Er 3.27-3.50, 2 Y 3.62
Y  0.5696  0.2704  0.1447  3 Er 3.27-3.50, 2 Y 3.62
Y  0.7296  0.8553  0.4304  3 Er 3.27-3.50, 2 Y 3.62
Y  0.8553  0.4304  0.7296  3 Er 3.27-3.50, 2 Y 3.62
Y  0.9110  0.9110  0.9110  3 Er 3.11, 1 Y 3.14
Er  0.1139  0.7874  0.5634  3 Y 3.11-3.44, 1 Tm 3.33, 3 Er 3.35-3.43
Er  0.2126  0.4366  0.8861  3 Y 3.11-3.44, 1 Tm 3.33, 3 Er 3.35-3.43
Er  0.4366  0.8861  0.2126  3 Y 3.11-3.44, 1 Tm 3.33, 3 Er 3.35-3.43
Er  0.5634  0.1139  0.7874  3 Y 3.11-3.44, 1 Tm 3.33, 3 Er 3.35-3.43
Er  0.7874  0.5634  0.1139  3 Y 3.11-3.44, 1 Tm 3.33, 3 Er 3.35-3.43
Er  0.8861  0.2126  0.4366  3 Y 3.11-3.44, 1 Tm 3.33, 3 Er 3.35-3.43
Tm  0.5000  0.5000  0.5000  6 Er 3.33, 6 Y 3.70

Here is an optimized crystal structure of NbCrP2 from the Alexandria database. Energies are from PBE-GGA.

Properties
The energy of formation is -1.27 eV per formula unit. The final energy comes out at -7.947 eV/atom. The value obtained for the density of states at the Fermi level is 3.4 states/eV/cell. The calculation puts the polymorph energy (0 for the lowest one) at 0.35 eV per formula unit.

Cell: 4.2649 4.2649 4.2649 Å, 60.00 60.00 60.00°
With the nearest neighbours (Å) after each atom.
Fractional coordinates of all 4 atoms:
Nb  0.0000  0.0000  0.0000  8 P 2.61
Cr  0.5000  0.5000  0.5000  8 P 2.61
P  0.2500  0.2500  0.2500  4 Cr 2.61, 4 Nb 2.61
P  0.7500  0.7500  0.7500  4 Cr 2.61, 4 Nb 2.61